Entry 1:
A geometry-optimized KRb3Re structure, computed with PBE.

## Properties
- size of the total moment (μB per cell) = 4.59
- crystal system = cubic
- E_form (eV per atom) = 1.64
- energy above the lowest structure with this stoichiometry (meV per atom) = 361

```
KRb3Re
1.0
7.694 0.000 0.000
0.000 7.694 0.000
0.000 0.000 7.694
K Rb Re
1 3 1
Cartesian
0.000 0.000 0.000
0.000 0.000 3.847
0.000 3.847 0.000
3.847 0.000 0.000
3.847 3.847 3.847
```

Entry 2:
A geometry-optimized KRb2Re structure, computed with PBE.

## Properties
- size of the total moment (μB per cell) = 6.96
- crystal system = tetragonal
- E_form (eV per atom) = 1.83
- energy above the lowest structure with this stoichiometry (meV per atom) = 295

```
KRb2Re
1.0
-5.192 5.192 7.619
5.192 -5.192 7.619
5.192 5.192 -7.619
K Rb Re
2 4 2
Cartesian
0.000 0.000 0.000
0.000 5.192 3.809
2.596 -0.017 5.714
5.175 2.596 1.905
2.596 5.210 -1.905
0.017 2.596 9.524
5.192 0.000 3.809
0.000 0.000 7.619
```

Entry 3:
A geometry-optimized KRb3Re structure, computed with PBE.

## Properties
- size of the total moment (μB per cell) = 3.22
- crystal system = cubic
- E_form (eV per atom) = 1.28
- energy above the lowest structure with this stoichiometry (meV per atom) = 0

```
KRb3Re
1.0
7.015 0.000 0.000
0.000 7.015 0.000
0.000 0.000 7.015
K Rb Re
1 3 1
Cartesian
0.000 0.000 0.000
0.000 3.508 3.508
3.508 0.000 3.508
3.508 3.508 0.000
3.508 3.508 3.508
```

Entry 4:
A geometry-optimized KRbRe2 structure, computed with PBE.

## Properties
- size of the total moment (μB per cell) = 9.11
- crystal system = tetragonal
- E_form (eV per atom) = 2.38
- energy above the lowest structure with this stoichiometry (meV per atom) = 0

```
KRbRe2
1.0
-4.773 4.773 2.635
4.773 -4.773 2.635
4.773 4.773 -2.635
K Rb Re
2 2 4
Cartesian
0.000 0.000 0.000
0.000 4.773 1.317
4.773 0.000 1.317
0.000 0.000 2.635
2.386 2.365 -0.659
2.407 -2.386 3.293
2.386 2.407 1.976
2.365 7.159 0.659
```

Entry 5:
A geometry-optimized KRb2Re structure, computed with PBE.

## Properties
- size of the total moment (μB per cell) = 3.89
- crystal system = cubic
- E_form (eV per atom) = 1.54
- energy above the lowest structure with this stoichiometry (meV per atom) = 0

```
KRb2Re
1.0
0.000 4.559 4.559
4.559 0.000 4.559
4.559 4.559 0.000
K Rb Re
1 2 1
Cartesian
0.000 0.000 0.000
2.280 2.280 2.280
6.839 6.839 6.839
4.559 4.559 4.559
```

Entry 6:
A geometry-optimized KRbRe2 structure, computed with PBE.

## Properties
- size of the total moment (μB per cell) = 8.02
- crystal system = cubic
- E_form (eV per atom) = 2.90
- energy above the lowest structure with this stoichiometry (meV per atom) = 520

```
KRbRe2
1.0
0.000 4.033 4.033
4.033 0.000 4.033
4.033 4.033 0.000
K Rb Re
1 1 2
Cartesian
0.000 0.000 0.000
4.033 4.033 4.033
2.016 2.016 2.016
6.049 6.049 6.049
```

Entry 7:
A geometry-optimized K2RbReS4 structure, computed with PBE.

## Properties
- size of the total moment (μB per cell) = 2.01
- crystal system = tetragonal
- total energy (eV per cell) = -38.4

```
K2RbReS4
1.0
-4.111 4.111 4.037
4.111 -4.111 4.037
4.111 4.111 -4.037
K Rb Re S
2 1 1 4
Cartesian
0.000 0.000 0.000
0.000 4.111 2.018
0.000 0.000 4.037
4.111 0.000 2.018
2.874 -1.359 3.290
2.752 1.238 0.746
1.238 5.470 -0.746
1.359 2.874 4.783
```

Entry 8:
A geometry-optimized KRbRe2S structure, computed with PBE.

## Properties
- size of the total moment (μB per cell) = 10.00
- crystal system = tetragonal
- total energy (eV per cell) = -18.1

```
KRbRe2S
1.0
6.002 0.000 0.000
0.000 6.002 0.000
0.000 0.000 5.765
K Rb Re S
1 1 2 1
Cartesian
0.000 0.000 0.000
3.001 3.001 2.882
0.000 3.001 0.000
3.001 0.000 0.000
0.000 0.000 2.882
```

Entry 9:
A geometry-optimized KRb2ReS4 structure, computed with PBE.

## Properties
- size of the total moment (μB per cell) = 2.01
- crystal system = tetragonal
- total energy (eV per cell) = -38.4

```
KRb2ReS4
1.0
-4.079 4.079 4.227
4.079 -4.079 4.227
4.079 4.079 -4.227
K Rb Re S
1 2 1 4
Cartesian
0.000 0.000 0.000
0.000 0.000 4.227
0.000 4.079 2.114
4.079 0.000 2.114
2.833 -1.367 3.369
2.712 1.246 0.858
1.246 5.446 -0.858
1.367 2.833 5.085
```

Entry 10:
A geometry-optimized KRbReS4 structure, computed with PBE.

## Properties
- size of the total moment (μB per cell) = 2.05
- crystal system = monoclinic
- total energy (eV per cell) = -72.9

```
KRbReS4
1.0
6.809 0.000 0.000
0.000 6.960 0.000
-3.257 0.000 9.179
K Rb Re S
2 2 2 8
Cartesian
1.371 1.740 0.205
2.181 5.220 8.974
0.345 1.740 5.463
3.207 5.220 3.716
-1.331 5.220 7.179
4.883 1.740 1.999
-0.773 3.501 2.584
-0.773 6.939 2.584
2.147 5.220 0.188
0.616 5.220 6.161
2.936 1.740 3.017
1.405 1.740 8.990
4.325 0.021 6.594
4.325 3.459 6.594
```